First-principles (PBE) data for an optimized crystal structure of TaTl4Ni, as listed in Alexandria via LeMat-Bulk.

The final energy comes out at -3.2790 eV/atom. The density of states at the Fermi level is 7.1 states/eV per cell. The calculation puts the formation enthalpy at 0 K at 1.237 eV per atom. Its symmetry is F-43m (216).

a b c (Å): 6.029 6.029 6.029
angles (deg): 60.00 60.00 60.00
Fractional coordinates of all 6 atoms:
Ta  0.000  0.000  0.000
Tl  0.874  0.375  0.375
Tl  0.375  0.375  0.874
Tl  0.375  0.874  0.375
Tl  0.375  0.375  0.375
Ni  0.750  0.750  0.750